VASP calculation (GGA-PBE) on a relaxed structure of TiMnW2.

Lattice parameters (Å, degrees): 7.0319 7.0319 5.1895 90.00 90.00 90.00
Last column: nearest neighbours and their distance in Å.
Space group I-42d (No. 122)
Unique sites:
1 Ti 0.0000 0.0000 0.0000  2 Mn 2.59, 4 W 2.75
2 Mn 0.0000 0.0000 0.5000  4 W 2.40, 2 Ti 2.59
3 W 0.2135 0.2500 0.6250  2 Mn 2.40, 2 W 2.65

Results
The energy relative to the lowest polymorph listed for this composition comes out at 2.43 eV/f.u. Its crystal system is tetragonal. The magnetic moment comes out at 0.00 μB per formula unit.

---

VASP calculation (GGA-PBE) on a relaxed structure of TiMnW2.

Lattice parameters (Å, degrees): 4.3499 4.3499 3.0824 90.00 90.00 90.00
Last column: nearest neighbours and their distance in Å.
Space group P4/mmm (No. 123)
Unique sites:
1 Ti 0.0000 0.0000 0.0000  8 W 2.67
2 Mn 0.5000 0.5000 0.0000  8 W 2.67
3 W 0.0000 0.5000 0.5000  4 Mn 2.67, 4 Ti 2.67

Results
The energy relative to the lowest polymorph listed for this composition comes out at 0.05 eV/f.u. Its crystal system is tetragonal. The magnetic moment comes out at 0.00 μB per formula unit.

---

VASP calculation (GGA-PBE) on a relaxed structure of Ti4Mn5W.

Lattice parameters (Å, degrees): 2.9858 2.9858 14.9513 90.00 90.00 90.00
Last column: nearest neighbours and their distance in Å.
Space group P4/mmm (No. 123)
Unique sites:
1 Ti 0.0000 0.0000 0.1006  8 Mn 2.59
2 Ti 0.0000 0.0000 0.2987  8 Mn 2.57-2.62
3 Mn 0.5000 0.5000 0.0000  8 Ti 2.59
4 Mn 0.5000 0.5000 0.2004  8 Ti 2.57-2.59
5 Mn 0.5000 0.5000 0.4020  4 W 2.57, 4 Ti 2.62
6 W 0.0000 0.0000 0.5000  8 Mn 2.57

Results
Its crystal system is tetragonal. Its total energy is -92.70 eV per cell. The magnetic moment comes out at 2.03 μB per formula unit.

---

VASP calculation (GGA-PBE) on a relaxed structure of TiMnW2.

Lattice parameters (Å, degrees): 6.1492 6.1492 6.1492 90.00 90.00 90.00
Last column: nearest neighbours and their distance in Å.
Space group Fm-3m (No. 225)
Unique sites:
1 Ti 0.0000 0.0000 0.0000  8 W 2.66
2 Mn 0.0000 0.0000 0.5000  8 W 2.66
3 W 0.2500 0.2500 0.2500  4 Mn 2.66, 4 Ti 2.66

Results
The energy relative to the lowest polymorph listed for this composition comes out at 0.07 eV/f.u. Its crystal system is cubic. The magnetic moment comes out at 0.00 μB per formula unit.

---

VASP calculation (GGA-PBE) on a relaxed structure of TiMn2W.

Lattice parameters (Å, degrees): 6.5978 6.5978 5.2486 90.00 90.00 90.00
Last column: nearest neighbours and their distance in Å.
Space group I-42d (No. 122)
Unique sites:
1 Ti 0.0000 0.0000 0.0000  4 Mn 2.45, 2 W 2.62
2 Mn 0.2449 0.7500 0.6250  2 W 2.40, 2 Ti 2.45, 2 Mn 2.63
3 W 0.0000 0.0000 0.5000  4 Mn 2.40, 2 Ti 2.62

Results
The energy relative to the lowest polymorph listed for this composition comes out at 3.29 eV/f.u. Its crystal system is tetragonal. The magnetic moment comes out at 0.00 μB per formula unit.

---

VASP calculation (GGA-PBE) on a relaxed structure of Ti3Mn2W.

Lattice parameters (Å, degrees): 2.9972 2.9972 9.4816 90.00 90.00 90.00
Last column: nearest neighbours and their distance in Å.
Space group P4/mmm (No. 123)
Unique sites:
1 Ti 0.0000 0.0000 0.0000  8 Mn 2.61
2 Ti 0.0000 0.0000 0.3091  4 Mn 2.55, 4 W 2.79
3 Mn 0.5000 0.5000 0.1599  8 Ti 2.55-2.61
4 W 0.5000 0.5000 0.5000  8 Ti 2.79, 4 W 3.00

Results
Its crystal system is tetragonal. Its total energy is -55.71 eV per cell. The magnetic moment comes out at 0.39 μB per formula unit.

---

VASP calculation (GGA-PBE) on a relaxed structure of TiMn2W.

Lattice parameters (Å, degrees): 5.9606 5.9606 5.9606 90.00 90.00 90.00
Last column: nearest neighbours and their distance in Å.
Space group Fm-3m (No. 225)
Unique sites:
1 Ti 0.0000 0.0000 0.0000  8 Mn 2.58
2 Mn 0.2500 0.2500 0.2500  4 W 2.58, 4 Ti 2.58
3 W 0.0000 0.0000 0.5000  8 Mn 2.58

Results
The energy relative to the lowest polymorph listed for this composition comes out at 0.00 eV/f.u. Its crystal system is cubic. The magnetic moment comes out at 0.00 μB per formula unit.

---

VASP calculation (GGA-PBE) on a relaxed structure of TiMn2W2.

Lattice parameters (Å, degrees): 7.0419 7.0419 2.9174 90.00 90.00 90.00
Last column: nearest neighbours and their distance in Å.
Space group P4/mbm (No. 127)
Unique sites:
1 Ti 0.0000 0.0000 0.0000  4 Mn 2.72, 2 Ti 2.92, 8 W 3.02
2 Mn 0.1391 0.3609 0.0000  6 W 2.47-2.57, 2 Ti 2.72
3 W 0.1606 0.6606 0.5000  6 Mn 2.47-2.57

Results
Its crystal system is tetragonal. Its total energy is -101.93 eV per cell. The magnetic moment comes out at 0.00 μB per formula unit.